Material: LiCoPb2
Method: DFT, PBE-GGA
State: relaxed

a = 3.3758 Å, b = 3.3758 Å, c = 25.9817 Å
α = 90.00°, β = 90.00°, γ = 120.00°
Closest atoms and distances in Å follow each position.
Space group R-3m (No. 166, hexagonal axes)
Unique sites:
Li: 0.0000 0.0000 0.0000 [3 per cell]  6 Pb 3.08, 6 Li 3.38
Co: 0.0000 0.0000 0.5000 [3 per cell]  6 Pb 2.76
Pb: 0.0000 0.0000 0.2416 [6 per cell]  3 Co 2.76, 3 Li 3.08

DFT formation energy (eV per atom): 0.1510


Material: Y2TlIr
Method: DFT, PBE-GGA
State: relaxed

a = 3.4811 Å, b = 4.7874 Å, c = 12.0240 Å
α = 90.00°, β = 90.00°, γ = 90.00°
Closest atoms and distances in Å follow each position.
Space group Imm2 (No. 44)
Unique sites:
Y: 0.0000 0.0000 0.0000 [2 per cell]  2 Ir 2.88, 4 Tl 3.21
Y: 0.0000 0.5000 0.2087 [2 per cell]  4 Ir 2.97, 2 Tl 3.28
Tl: 0.0000 0.0000 0.3956 [2 per cell]  2 Ir 3.02, 6 Y 3.21-3.28
Ir: 0.0000 0.5000 0.6904 [2 per cell]  6 Y 2.88-2.97, 2 Tl 3.02

DFT formation energy (eV per atom): -0.4406
Polymorph energy (0 for the lowest one) (eV/atom): 0.165


Material: CeDyCoSi
Method: DFT, PBE-GGA
State: relaxed

a = 4.1150 Å, b = 4.1150 Å, c = 17.8103 Å
α = 90.00°, β = 90.00°, γ = 120.00°
Closest atoms and distances in Å follow each position.
Space group R3m (No. 160, hexagonal axes)
Unique sites:
Ce: 0.0000 0.0000 0.0000 [3 per cell]  3 Co 2.81, 3 Si 3.00
Dy: 0.0000 0.0000 0.1876 [3 per cell]  3 Si 2.81, 3 Co 3.01
Co: 0.0000 0.0000 0.4173 [3 per cell]  3 Si 2.40
Si: 0.0000 0.0000 0.7700 [3 per cell]  3 Co 2.40

Uncorrected formation energy (eV/f.u.): -1.847


Material: Tm3Bi2
Method: DFT, PBE-GGA
State: relaxed

a = 8.4556 Å, b = 11.7474 Å, c = 6.2953 Å
α = 90.00°, β = 90.00°, γ = 90.00°
Closest atoms and distances in Å follow each position.
Space group Ibam (No. 72)
Unique sites:
Tm: 0.0000 0.0000 0.2500 [4 per cell]  2 Tm 3.15, 4 Bi 3.21
Tm: 0.1524 0.3430 0.0000 [8 per cell]  5 Bi 3.03-3.23
Bi: 0.2047 0.3934 0.5000 [8 per cell]  7 Tm 3.03-3.23

DFT formation energy (eV per atom): -0.4647


Material: ZrFe2Si
Method: DFT, PBE-GGA
State: relaxed

a = 3.8935 Å, b = 3.8935 Å, c = 16.7327 Å
α = 90.00°, β = 90.00°, γ = 90.00°
Closest atoms and distances in Å follow each position.
Space group I-42d (No. 122)
Unique sites:
Zr: 0.0000 0.0000 0.0000 [4 per cell]  4 Fe 2.67, 4 Si 2.75
Fe: 0.1541 0.2500 0.6250 [8 per cell]  2 Fe 2.29, 2 Si 2.38
Si: 0.0000 0.0000 0.5000 [4 per cell]  4 Fe 2.38

Uncorrected formation energy (eV/f.u.): 0.246


Material: Ni3Mo
Method: DFT, PBE-GGA
State: relaxed

a = 2.6028 Å, b = 3.6549 Å, c = 5.0730 Å
α = 90.00°, β = 90.00°, γ = 90.00°
Closest atoms and distances in Å follow each position.
Space group Pmmm (No. 47)
Unique sites:
Ni: 0.0000 0.0000 0.0000 [1 per cell]  2 Mo 2.54, 10 Ni 2.56-2.60
Ni: 0.5000 0.5000 0.2424 [2 per cell]  8 Ni 2.46-2.61, 4 Mo 2.60
Mo: 0.0000 0.0000 0.5000 [1 per cell]  10 Ni 2.54-2.60, 2 Mo 2.60

DFT formation energy (eV per atom): -0.0193


What did the fifth record say?
Material: ZrFe2Si
Method: DFT, PBE-GGA
State: relaxed

a = 3.8935 Å, b = 3.8935 Å, c = 16.7327 Å
α = 90.00°, β = 90.00°, γ = 90.00°
Closest atoms and distances in Å follow each position.
Space group I-42d (No. 122)
Unique sites:
Zr: 0.0000 0.0000 0.0000 [4 per cell]  4 Fe 2.67, 4 Si 2.75
Fe: 0.1541 0.2500 0.6250 [8 per cell]  2 Fe 2.29, 2 Si 2.38
Si: 0.0000 0.0000 0.5000 [4 per cell]  4 Fe 2.38

Uncorrected formation energy (eV/f.u.): 0.246